Density functional theory data (PBEsol) for a relaxed structure of CrHgCl2.

Calculated values
The magnetization comes out at 8.000 Bohr magnetons per cell. For the total energy, the calculation gives -32.2 eV/cell. Its uncorrected formation energy is -0.313 eV per atom.

abc: 3.3399 6.2323 8.7990
angles: 90.00 90.00 90.00
Space group Imm2 (No. 44)
Unique sites:
Cr 0.0000 0.0000 0.0000 (multiplicity 2)
Hg 0.0000 0.5000 0.2569 (multiplicity 2)
Cl 0.0000 0.0000 0.5182 (multiplicity 2)
Cl 0.0000 0.5000 0.6789 (multiplicity 2)

---

Density functional theory data (PBEsol) for a relaxed structure of Cr2HgSCl.

Calculated values
The magnetization comes out at 9.605 Bohr magnetons per cell. For the total energy, the calculation gives -25.5 eV/cell. Its uncorrected formation energy is 0.394 eV per atom.

abc: 4.6856 4.6856 5.2788
angles: 90.00 90.00 90.00
Space group P4/mmm (No. 123)
Unique sites:
Cr 0.0000 0.5000 0.0000 (multiplicity 2)
Hg 0.0000 0.0000 0.5000 (multiplicity 1)
S 0.0000 0.0000 0.0000 (multiplicity 1)
Cl 0.5000 0.5000 0.5000 (multiplicity 1)

---

Density functional theory data (PBEsol) for a relaxed structure of CrReICl2.

Calculated values
The magnetization comes out at 4.992 Bohr magnetons per cell. For the total energy, the calculation gives -20.1 eV/cell. Its uncorrected formation energy is 1.846 eV per atom.

abc: 5.6828 5.6828 4.8989
angles: 90.00 90.00 90.00
Space group P4/mmm (No. 123)
Unique sites:
Cr 0.0000 0.0000 0.0000 (multiplicity 1)
Re 0.5000 0.5000 0.0000 (multiplicity 1)
I 0.5000 0.5000 0.5000 (multiplicity 1)
Cl 0.0000 0.5000 0.5000 (multiplicity 2)

---

Density functional theory data (PBEsol) for a relaxed structure of CrSbI2Cl.

Calculated values
The magnetization comes out at 4.564 Bohr magnetons per cell. For the total energy, the calculation gives -17.9 eV/cell. Its uncorrected formation energy is 0.485 eV per atom.

abc: 5.7635 5.7635 5.3977
angles: 90.00 90.00 90.00
Space group P4/mmm (No. 123)
Unique sites:
Cr 0.0000 0.0000 0.0000 (multiplicity 1)
Sb 0.0000 0.0000 0.5000 (multiplicity 1)
I 0.0000 0.5000 0.5000 (multiplicity 2)
Cl 0.5000 0.5000 0.0000 (multiplicity 1)

---

Density functional theory data (PBEsol) for a relaxed structure of CrTe2ICl.

Calculated values
The magnetization comes out at 1.734 Bohr magnetons per cell. For the total energy, the calculation gives -19.9 eV/cell. Its uncorrected formation energy is 0.225 eV per atom.

abc: 5.0385 5.0385 5.3140
angles: 90.00 90.00 90.00
Space group P4/mmm (No. 123)
Unique sites:
Cr 0.0000 0.0000 0.0000 (multiplicity 1)
Te 0.0000 0.5000 0.0000 (multiplicity 2)
I 0.0000 0.0000 0.5000 (multiplicity 1)
Cl 0.5000 0.5000 0.5000 (multiplicity 1)

---

Density functional theory data (PBEsol) for a relaxed structure of CrTeI2Cl.

Calculated values
The magnetization comes out at 4.423 Bohr magnetons per cell. For the total energy, the calculation gives -14.9 eV/cell. Its uncorrected formation energy is 0.878 eV per atom.

abc: 5.5667 5.5667 5.3412
angles: 90.00 90.00 90.00
Space group P4/mmm (No. 123)
Unique sites:
Cr 0.0000 0.0000 0.0000 (multiplicity 1)
Te 0.5000 0.5000 0.0000 (multiplicity 1)
I 0.0000 0.5000 0.5000 (multiplicity 2)
Cl 0.5000 0.5000 0.5000 (multiplicity 1)

---

Density functional theory data (PBEsol) for a relaxed structure of Cr2InCl.

Calculated values
The magnetization comes out at 16.729 Bohr magnetons per cell. For the total energy, the calculation gives -47.4 eV/cell. Its uncorrected formation energy is 0.446 eV per atom.

abc: 3.3925 5.3933 8.2331
angles: 90.00 90.00 90.00
Space group Cmmm (No. 65)
Unique sites:
Cr 0.0000 0.0000 0.2363 (multiplicity 4)
In 0.0000 0.5000 0.5000 (multiplicity 2)
Cl 0.0000 0.5000 0.0000 (multiplicity 2)

---

Density functional theory data (PBEsol) for a relaxed structure of CrIn2Cl.

Calculated values
The magnetization comes out at 9.389 Bohr magnetons per cell. For the total energy, the calculation gives -34.2 eV/cell. Its uncorrected formation energy is 0.281 eV per atom.

abc: 4.1698 4.1698 10.6232
angles: 90.00 90.00 90.00
Space group I-4m2 (No. 119)
Unique sites:
Cr 0.0000 0.0000 0.0000 (multiplicity 2)
In 0.0000 0.0000 0.5000 (multiplicity 2)
In 0.0000 0.5000 0.2500 (multiplicity 2)
Cl 0.0000 0.5000 0.7500 (multiplicity 2)